HfNOF2, optimized geometry, DFT GGA-PBE; offset from the most stable computed form = 0.0 kJ per mole of atoms; formation energy without anion corrections = -1811 meV per atom; raw total energy = -36.03 eV for the cell shown
1.0
4.196 0.000 0.000
0.000 4.196 0.000
0.000 0.000 3.983
F O Hf N
2 1 1 1
direct
0.000 0.500 0.000
0.500 0.000 0.000
0.000 0.000 0.500
0.000 0.000 0.000
0.500 0.500 0.500

=====

HfNOF2, optimized geometry, DFT GGA-PBE; offset from the most stable computed form = 183.0 kJ per mole of atoms; formation energy without anion corrections = 85 meV per atom; raw total energy = -26.55 eV for the cell shown
1.0
-2.437 2.562 -1.386
-2.899 -2.307 0.833
-0.276 1.566 3.379
F Hf O N
2 1 1 1
direct
0.000 0.500 0.000
0.500 0.000 0.000
0.500 0.500 0.500
0.000 0.000 0.500
0.000 0.000 0.000

=====

HfN2OF, optimized geometry, DFT GGA-PBE; formation energy without anion corrections = 705 meV per atom; raw total energy = -29.91 eV for the cell shown
1.0
-2.254 2.598 0.946
-2.479 -1.360 -2.174
-1.280 -2.127 2.791
Hf N O F
1 2 1 1
direct
0.500 0.500 0.500
0.500 0.000 0.000
0.000 0.500 0.000
0.000 0.000 0.500
0.000 0.000 0.000

=====

HfNOF2, optimized geometry, DFT GGA-PBE; offset from the most stable computed form = 172.8 kJ per mole of atoms; formation energy without anion corrections = -20 meV per atom; raw total energy = -27.08 eV for the cell shown
1.0
-2.532 -2.064 -1.470
0.002 -2.079 2.917
-2.885 2.347 1.675
N F O Hf
1 2 1 1
direct
0.000 0.000 0.500
0.000 0.500 0.000
0.500 0.000 0.000
0.000 0.000 0.000
0.500 0.500 0.500